! Ho3NpIr8, optimized geometry, DFT PBE; values from VASP
&SYSTEM
  ibrav = 0, nat = 12, ntyp = 3
/
ATOMIC_SPECIES
Ho 164.93 Ho.upf
Np 237.00 Np.upf
Ir 192.22 Ir.upf
ATOMIC_POSITIONS angstrom
Ho 0.0000 0.0000 0.0000
Ho 0.0000 0.0000 3.2762
Ho 0.0000 0.0000 13.0624
Np 0.0000 0.0000 16.3310
Ir -1.3433 -0.7756 10.3370
Ir 0.0000 -1.5534 6.0027
Ir -1.3453 0.7767 6.0027
Ir 0.0000 0.0000 8.1695
Ir 1.3433 -0.7756 10.3370
Ir 0.0000 1.5511 10.3370
Ir 1.3453 0.7767 6.0027
Ir 0.0000 0.0000 21.2546
CELL_PARAMETERS angstrom
2.6748 1.5443 8.7248
-2.6748 1.5443 8.7248
0.0000 -3.0886 8.7248
! - Symmetry: No. 160
! - E: -106.10 eV per cell
! - Formation enthalpy at 0 K: -0.7118 eV/atom